No. 1
A plane-wave DFT calculation with PBE was carried out for ErSc2Sb after structural relaxation.

a = 3.5119 Å, b = 3.5119 Å, c = 31.6061 Å
α = 90.00°, β = 90.00°, γ = 120.00°
Space group R-3m (No. 166, hexagonal axes)
Inequivalent atoms, fractional coordinates:
Er 0.0000 0.0000 0.0000 (multiplicity 3)
Sc 0.0000 0.0000 0.1004 (multiplicity 6)
Sb 0.0000 0.0000 0.5000 (multiplicity 3)

Computed properties:
* uncorrected energy: -63.5 eV/cell
* volume: 337.6 Å³/cell
* distance to the lowest polymorph of the same formula: 655 meV per atom

No. 2
A plane-wave DFT calculation with PBE was carried out for ErSc3Sb4 after structural relaxation.

a = 8.428 Å, b = 11.918 Å, c = 4.215 Å
α = 90.00°, β = 90.00°, γ = 90.00°
Space group Cmmm (No. 65)
Inequivalent atoms, fractional coordinates:
Er 0.000 0.000 0.000 (multiplicity 2)
Sc 0.000 0.500 0.000 (multiplicity 2)
Sc 0.250 0.250 0.500 (multiplicity 4)
Sb 0.000 0.254 0.000 (multiplicity 4)
Sb 0.241 0.500 0.500 (multiplicity 4)

Computed properties:
* uncorrected energy: -95.6 eV/cell
* volume: 423.3 Å³/cell
* distance to the lowest polymorph of the same formula: 0 meV per atom